Here is crystalline Ba2MgV2Si4O14 at its relaxed geometry from the Alexandria database. Energies are from PBE+U.

Output
The theoretical density is 3.874 g/cm³. The distance to the lowest polymorph of the same formula comes out at 21 meV per atom. The energy is -171.57 eV/cell.

a b c (Å): 8.180 8.180 7.349
angles (deg): 88.24 88.24 40.01
Last column: magnetic moment on the atom in μB.
Fractional positions:
Ba  0.212  0.192  0.241  0.00
Ba  0.808  0.788  0.759  0.00
Mg  0.139  0.861  0.500  0.01
V  0.886  0.893  0.230  1.91
V  0.107  0.114  0.770  1.91
Si  0.634  0.579  0.473  0.00
Si  0.421  0.366  0.527  0.00
Si  0.610  0.598  0.028  0.00
Si  0.402  0.390  0.972  0.00
O  0.390  0.870  0.547  0.00
O  0.130  0.610  0.453  0.00
O  0.411  0.886  0.944  0.00
O  0.114  0.589  0.056  0.00
O  0.533  0.467  0.500  0.00
O  0.508  0.492  0.000  0.00
O  0.011  0.001  0.260  -0.03
O  0.999  0.989  0.740  -0.03
O  0.648  0.614  0.249  0.00
O  0.386  0.352  0.751  0.00
O  0.908  0.399  0.562  -0.01
O  0.601  0.092  0.438  -0.01
O  0.895  0.408  0.945  0.00
O  0.592  0.105  0.055  0.00